Below is a geometry-optimized Ac7SmSn4 structure, with properties calculated at the PBE-GGA level.

Unit cell a=6.2280 b=10.1342 c=8.3290 alpha=78.08 beta=68.05 gamma=72.10
Last column: nearest neighbours and their distance in Å.
Fractional coordinates of all 12 atoms:
Ac 0.5000 0.0000 0.0000  2 Sm 3.11, 4 Sn 3.27-3.43
Ac 0.7894 0.8917 0.5295  4 Ac 3.52-3.88, 4 Sn 3.57-3.68
Ac 0.9378 0.3759 0.7485  3 Sn 3.35-3.51, 1 Ac 3.52
Ac 0.0622 0.6241 0.2515  3 Sn 3.35-3.51, 1 Ac 3.52
Ac 0.6973 0.3684 0.2370  4 Sn 3.23-3.47
Ac 0.2106 0.1083 0.4705  4 Ac 3.52-3.88, 4 Sn 3.57-3.68
Ac 0.3027 0.6316 0.7630  4 Sn 3.23-3.47
Sn 0.3076 0.3315 0.0534  5 Ac 3.27-3.47, 1 Sn 3.39
Sn 0.6924 0.6685 0.9466  5 Ac 3.27-3.47, 1 Sn 3.39
Sn 0.5589 0.2416 0.6407  5 Ac 3.23-3.57, 1 Sn 3.39
Sn 0.4411 0.7584 0.3593  5 Ac 3.23-3.57, 1 Sn 3.39
Sm 0.0000 0.0000 0.0000  2 Ac 3.11

The value obtained for the total DFT energy (no corrections) is -4.35 eV per atom. As for the magnetization: 0.000 μB/f.u. Its formation energy is -0.222 eV/atom. The volume comes out at 38.456 A^3/atom. The density of states at the Fermi level comes out at 10.83 states/eV/f.u.